(1)
Compound: Li2MgFe
Source: the Alexandria database
Functional: SCAN
Structure: single point on PBEsol structure

* total DFT energy (no corrections): -6.686 eV per atom
* DFT formation energy: 0.28 eV/atom

Cell lengths 2.7208, 2.7208, 8.4440 Å; angles 90.00, 90.00, 90.00 degrees
Last column: nearest neighbours and their distance in Å.
Fractional positions:
Li: 0.0000 0.0000 0.2197  4 Fe 2.67, 4 Li 2.72
Li: 0.0000 0.0000 0.7803  4 Fe 2.67, 4 Li 2.72
Mg: 0.5000 0.5000 0.5000  4 Mg 2.72
Fe: 0.5000 0.5000 0.0000  8 Li 2.67, 4 Fe 2.72

(2)
Compound: Li2MgFe
Source: the Alexandria database
Functional: SCAN
Structure: single point on PBEsol structure

* total DFT energy (no corrections): -6.706 eV per atom
* DFT formation energy: 0.27 eV/atom

Cell lengths 4.8053, 4.8053, 5.1885 Å; angles 96.17, 96.17, 31.96 degrees
Last column: nearest neighbours and their distance in Å.
Fractional positions:
Li: 0.0000 0.0000 0.0000  5 Li 2.65-2.86, 2 Mg 2.79, 3 Fe 2.82
Li: 0.2451 0.2451 0.7619  5 Li 2.65-2.86, 1 Mg 2.85, 4 Fe 2.87-2.95
Mg: 0.4891 0.4891 0.4717  2 Mg 2.65, 3 Fe 2.74, 3 Li 2.79-2.85
Fe: 0.7453 0.7453 0.2536  2 Fe 2.65, 3 Mg 2.74, 7 Li 2.82-2.95

(3)
Compound: LiMgFe2
Source: the Alexandria database
Functional: SCAN
Structure: single point on PBEsol structure

* total DFT energy (no corrections): -10.620 eV per atom
* DFT formation energy: 0.29 eV/atom

Cell lengths 5.0709, 5.0709, 5.0709 Å; angles 147.36, 127.28, 63.40 degrees
Last column: nearest neighbours and their distance in Å.
Fractional positions:
Li: 0.0000 0.0000 0.0000  6 Fe 2.63-2.69, 2 Mg 2.74, 2 Li 2.85
Mg: 0.2716 0.7716 0.5000  6 Fe 2.67-2.73, 4 Li 2.74-2.99, 2 Mg 2.85
Fe: 0.5411 0.5411 0.0000  2 Fe 2.26
Fe: 0.7444 0.2444 0.5000  2 Fe 2.26

What is the total DFT energy (no corrections) in the first record?
-6.686 eV per atom

Number 3 is which compound?
LiMgFe2

What is the total DFT energy (no corrections) in the first record?
-6.686 eV per atom